Here is a relaxed structure of Ho2LuZr from Alexandria via LeMat-Bulk. Energies are from PBE.

Results
DOS at the Fermi energy   7.06 states/eV/f.u.
Total moment   0.00 μB/f.u.
Excess energy over the best structure of this formula in the dataset   84.6 meV/atom
DFT formation energy   0.66 eV per formula unit

Cell lengths 3.996, 3.996, 7.084 Å; angles 90.00, 90.00, 90.00 degrees
Atoms (fractional coordinates):
1 Zr 0.500 0.500 0.500
2 Ho 0.000 0.000 0.730
3 Ho 0.000 0.000 0.270
4 Lu 0.500 0.500 0.000